1.
Computed, not measured: P2IrPb at its PBEsol-relaxed geometry at the SCAN level of DFT.

Cell lengths 3.8149, 3.8149, 6.2989 Å; angles 72.37, 72.37, 60.00 degrees
Fractional coordinates of all 4 atoms:
1 Ir 0.0000 0.0000 0.0000
2 Pb 0.5000 0.5000 0.5000
3 P 0.2784 0.2784 0.1648
4 P 0.7216 0.7216 0.8352

Summary:
- M_tot: 0.00 Bohr magnetons per cell
- Symmetry: No. 166
- ΔH_f (0 K): -0.12 eV/atom
- Calculated volume: 18.594 Å³/atom
- Calculated total energy: -42.04 eV/atom

=====

2.
Computed, not measured: LuSeF at its PBEsol-relaxed geometry at the SCAN level of DFT.

Cell lengths 3.9448, 3.9448, 17.3280 Å; angles 90.00, 90.00, 120.00 degrees
Fractional coordinates of all 12 atoms:
1 Se 0.3333 0.6667 0.4105
2 Se 0.3333 0.6667 0.0895
3 Se 0.6667 0.3333 0.9105
4 Lu 0.6667 0.3333 0.7500
5 Se 0.6667 0.3333 0.5895
6 Lu 0.0000 0.0000 0.5000
7 F 0.6667 0.3333 0.2500
8 Lu 0.0000 0.0000 0.0000
9 F 0.0000 0.0000 0.2500
10 F 0.0000 0.0000 0.7500
11 Lu 0.3333 0.6667 0.2500
12 F 0.3333 0.6667 0.7500

Summary:
- M_tot: 0.00 Bohr magnetons per cell
- Symmetry: No. 194
- Calculated volume: 19.460 Å³/atom
- Calculated total energy: -29.41 eV/atom
- Formation energy (no corrections): -3.09 eV per atom

=====

3.
Computed, not measured: HfTl3As at its PBEsol-relaxed geometry at the SCAN level of DFT.

Cell lengths 5.2930, 5.2930, 5.2930 Å; angles 90.00, 90.00, 90.00 degrees
Each line ends with the local moment (μB).
Fractional coordinates of all 5 atoms:
1 Tl 0.0000 0.5000 0.0000  0.02
2 As 0.0000 0.0000 0.0000  0.04
3 Tl 0.5000 0.0000 0.0000  0.02
4 Hf 0.5000 0.5000 0.5000  0.81
5 Tl 0.0000 0.0000 0.5000  0.02

Summary:
- M_tot: 1.46 Bohr magnetons per cell
- Symmetry: No. 221
- ΔH_f (0 K): 1.01 eV/atom
- Calculated volume: 29.657 Å³/atom
- Calculated total energy: -58.98 eV/atom